OsPb2O4 PBE relaxed; magnetization = 1.41 Bohr magnetons per cell; total energy = -6.212 eV/atom
1.0
0.522 -1.721 6.738
-2.161 6.375 -1.822
-4.117 -5.525 -1.075
Os O Pb
2 8 4
direct
0.000 0.000 0.000 Os
0.750 0.500 0.250 Os
0.672 0.781 0.890 O
0.109 0.219 0.890 O
0.640 0.719 0.359 O
0.078 0.719 0.360 O
0.110 0.781 0.891 O
0.640 0.281 0.922 O
0.641 0.281 0.360 O
0.110 0.219 0.328 O
0.375 0.750 0.625 Pb
0.375 0.750 0.125 Pb
0.875 0.250 0.625 Pb
0.375 0.250 0.625 Pb